Compound: CaNpGaO6
Source: Alexandria via LeMat-Bulk
Functional: PBE
Structure: relaxed

Cell: 5.3125 5.3125 10.2033 Å, 90.00 90.00 120.00°
Sites, in units of the cell vectors:
O 0.3619 0.3598 0.3577
O 0.0021 0.3620 0.6423
O 0.3598 0.9979 0.6423
O 0.0021 0.6402 0.8577
O 0.6381 0.9979 0.8577
O 0.6402 0.6380 0.1423
O 0.6402 0.0021 0.3577
O 0.9979 0.3598 0.1423
O 0.9979 0.6380 0.3577
O 0.3598 0.3620 0.8577
O 0.3619 0.0021 0.1423
O 0.6381 0.6402 0.6423
Ca 0.0000 0.0000 0.0000
Ca 0.0000 0.0000 0.5000
Ga 0.3333 0.6667 0.7500
Ga 0.6667 0.3333 0.2500
Np 0.6667 0.3333 0.7500
Np 0.3333 0.6667 0.2500

Output
Its final energy is -69.71 eV/f.u. Its space-group type is P-31c (163). The theoretical density is 5.90 Mg/m³. As for the uncorrected formation energy: -2.44 eV/atom.